(1)
This record from OQMD describes Hf3As4Pd4 after structural relaxation. The functional is PBE.

Cell and atoms, written as POSCAR:
```
Hf3As4Pd4
1.0
6.585 0.000 -0.033
0.000 3.924 0.000
-0.037 0.000 7.721
As Hf Pd
4 3 4
direct
0.232 0.250 0.116
0.746 0.250 0.377
0.257 0.750 0.628
0.782 0.750 0.879
0.963 0.750 0.185
0.458 0.750 0.313
0.540 0.250 0.692
0.640 0.250 0.062
0.153 0.250 0.441
0.856 0.750 0.565
0.371 0.750 0.939
```

---

(2)
This record from OQMD describes Hf2ZrAs4Pd4 after structural relaxation. The functional is PBE.

Cell and atoms, written as POSCAR:
```
Hf2ZrAs4Pd4
1.0
-1.754 3.540 5.285
-1.488 -3.232 1.671
6.879 -1.503 3.217
As Hf Pd Zr
4 2 4 1
direct
0.234 0.000 0.118
0.747 0.000 0.376
0.253 0.500 0.630
0.783 0.500 0.878
0.964 0.500 0.184
0.458 0.500 0.314
0.642 0.000 0.062
0.153 0.000 0.441
0.858 0.500 0.563
0.369 0.500 0.942
0.539 0.000 0.691
```

---

(3)
This record from OQMD describes Hf2ZrAs4Pd4 after structural relaxation. The functional is PBE.

Cell and atoms, written as POSCAR:
```
Hf2ZrAs4Pd4
1.0
-1.987 5.252 3.471
-3.363 0.068 -2.028
-3.230 -4.743 5.197
As Hf Pd Zr
4 2 4 1
direct
0.235 0.500 0.119
0.749 0.500 0.375
0.255 0.000 0.629
0.783 0.000 0.878
0.964 0.000 0.184
0.539 0.500 0.692
0.643 0.500 0.058
0.148 0.500 0.443
0.853 0.000 0.565
0.370 0.000 0.938
0.459 0.000 0.315
```

---

(4)
This record from OQMD describes Hf2ZrAs4Pd4 after structural relaxation. The functional is PBE.

Cell and atoms, written as POSCAR:
```
Hf2ZrAs4Pd4
1.0
6.612 0.000 0.000
0.000 3.933 0.000
-0.043 0.000 7.730
As Hf Pd Zr
4 2 4 1
direct
0.241 0.500 0.120
0.747 0.500 0.376
0.254 0.000 0.629
0.778 0.000 0.877
0.460 0.000 0.316
0.537 0.500 0.691
0.639 0.500 0.061
0.154 0.500 0.443
0.852 0.000 0.565
0.370 0.000 0.939
0.965 0.000 0.183
```

---

(5)
This record from OQMD describes PmHfAs after structural relaxation. The functional is PBE.

Cell and atoms, written as POSCAR:
```
PmHfAs
1.0
0.000 3.333 3.333
3.333 0.000 3.333
3.333 3.333 0.000
As Hf Pm
1 1 1
direct
0.000 0.000 0.000
0.250 0.250 0.250
0.750 0.750 0.750
```

---

(6)
This record from OQMD describes PmHfAs after structural relaxation. The functional is PBE.

Cell and atoms, written as POSCAR:
```
PmHfAs
1.0
3.704 1.298 3.019
1.019 4.787 0.752
-0.991 2.083 4.382
As Hf Pm
1 1 1
direct
0.250 0.250 0.250
0.750 0.750 0.750
0.000 0.000 0.000
```

---

(7)
This record from OQMD describes PrHfAs after structural relaxation. The functional is PBE.

Cell and atoms, written as POSCAR:
```
PrHfAs
1.0
0.000 3.534 3.534
3.534 0.000 3.534
3.534 3.534 0.000
As Hf Pr
1 1 1
direct
0.250 0.250 0.250
0.750 0.750 0.750
0.000 0.000 0.000
```

---

(8)
This record from OQMD describes PrHfAs after structural relaxation. The functional is PBE.

Cell and atoms, written as POSCAR:
```
PrHfAs
1.0
0.000 3.369 3.369
3.369 0.000 3.369
3.369 3.369 0.000
As Hf Pr
1 1 1
direct
0.000 0.000 0.000
0.250 0.250 0.250
0.750 0.750 0.750
```

---

(9)
This record from OQMD describes Pr4Hf3As4 after structural relaxation. The functional is PBE.

Cell and atoms, written as POSCAR:
```
Pr4Hf3As4
1.0
7.460 0.000 0.000
0.000 3.808 0.000
-1.382 0.000 9.729
As Hf Pr
4 3 4
direct
0.213 0.000 0.153
0.759 0.000 0.335
0.428 0.500 0.588
0.815 0.500 0.910
0.945 0.500 0.189
0.458 0.500 0.301
0.595 0.000 0.753
0.578 0.000 0.048
0.162 0.000 0.463
0.832 0.500 0.582
0.212 0.500 0.876
```

---

(10)
This record from OQMD describes Hf3As4Pt3 after structural relaxation. The functional is PBE.

Cell and atoms, written as POSCAR:
```
Hf3As4Pt3
1.0
-5.517 -4.345 3.448
1.185 -2.591 -7.286
6.660 -0.530 4.072
As Hf Pt
8 6 6
direct
0.312 0.500 0.000
0.812 0.500 0.000
0.188 0.188 0.188
0.500 0.000 0.312
0.000 0.312 0.500
0.000 0.812 0.500
0.688 0.688 0.688
0.500 0.000 0.812
0.750 0.875 0.125
0.625 0.375 0.250
0.250 0.625 0.375
0.375 0.250 0.625
0.875 0.125 0.750
0.125 0.750 0.875
0.875 0.250 0.125
0.125 0.875 0.250
0.625 0.750 0.375
0.750 0.375 0.625
0.375 0.625 0.750
0.250 0.125 0.875
```

---

(11)
This record from OQMD describes Hf2AsPt after structural relaxation. The functional is PBE.

Cell and atoms, written as POSCAR:
```
Hf2AsPt
1.0
2.572 -0.002 3.958
-1.701 2.004 3.921
-1.295 -2.692 3.655
As Hf Pt
1 2 1
direct
0.500 0.500 0.500
0.000 0.000 0.000
0.750 0.750 0.750
0.250 0.250 0.250
```

---

(12)
This record from OQMD describes Hf2As2Pt after structural relaxation. The functional is PBE.

Cell and atoms, written as POSCAR:
```
Hf2As2Pt
1.0
-2.352 2.352 4.558
2.352 -2.352 4.558
2.352 2.352 -4.558
As Hf Pt
2 2 1
direct
0.369 0.369 0.000
0.631 0.631 0.000
0.750 0.250 0.500
0.250 0.750 0.500
0.000 0.000 0.000
```

---

no.,total DFT energy (no corrections) (eV per cell)
1,-77.92
2,-76.74
3,-76.76
4,-76.77
5,-20.55
6,-17.41
7,-17.35
8,-20.46
9,-74.83
10,-149.76
11,-30.86
12,-36.84